Model i:
# Ga2CuRh

A relaxed structure of Ga2CuRh (PBE-GGA, Alexandria via LeMat-Bulk).

The structure in POSCAR format:
```
Ga2CuRh
1.0
-3.383 3.383 2.698
3.383 -3.383 2.698
3.383 3.383 -2.698
Ga Cu Rh
4 2 2
Direct
0.118 0.625 0.993 Ga
0.375 0.368 0.493 Ga
0.632 0.125 0.007 Ga
0.875 0.882 0.507 Ga
0.000 0.000 0.000 Cu
0.750 0.250 0.500 Cu
0.250 0.750 0.500 Rh
0.500 0.500 0.000 Rh
```

Computed properties:
Total magnetization: 0.000 μB/atom
Space-group type: I-42d (122)


Model ii:
# Ga2CuRh

A relaxed structure of Ga2CuRh (PBE-GGA, Alexandria via LeMat-Bulk).

The structure in POSCAR format:
```
Ga2CuRh
1.0
3.089 0.000 0.000
0.000 3.089 0.000
0.000 0.000 5.883
Ga Cu Rh
2 1 1
Direct
0.000 0.000 0.247 Ga
0.000 0.000 0.753 Ga
0.500 0.500 0.000 Cu
0.500 0.500 0.500 Rh
```

Computed properties:
Total magnetization: 0.000 μB/atom
Space-group type: P4/mmm (123)


Q: What are the energies relative to the best structure? A: model i 28.8; model ii 0.0, in kJ/mol of atoms.


Model i:
# Ga2CuRh

A relaxed structure of Ga2CuRh (PBE-GGA, Alexandria via LeMat-Bulk).

The structure in POSCAR format:
```
Ga2CuRh
1.0
-1.822 1.837 4.174
1.822 -1.837 4.174
1.822 1.837 -4.174
Ga Cu Rh
2 1 1
Direct
0.000 0.000 0.000 Ga
0.749 0.249 0.500 Ga
0.249 0.749 0.500 Cu
0.499 0.499 0.000 Rh
```

Computed properties:
Total magnetization: 0.000 μB/atom
Space-group type: Imm2 (44)


Model ii:
# Ga2CuRh

A relaxed structure of Ga2CuRh (PBE-GGA, Alexandria via LeMat-Bulk).

The structure in POSCAR format:
```
Ga2CuRh
1.0
0.000 3.037 3.037
3.037 0.000 3.037
3.037 3.037 0.000
Ga Cu Rh
2 1 1
Direct
0.250 0.250 0.250 Ga
0.750 0.750 0.750 Ga
0.000 0.000 0.000 Cu
0.500 0.500 0.500 Rh
```

Computed properties:
Total magnetization: 0.000 μB/atom
Space-group type: Fm-3m (225)


Model iii:
# Ga2CuRh

A relaxed structure of Ga2CuRh (PBE-GGA, Alexandria via LeMat-Bulk).

The structure in POSCAR format:
```
Ga2CuRh
1.0
1.462 0.844 7.916
-1.462 0.844 7.916
0.000 -1.688 7.916
Ga Cu Rh
2 1 1
Direct
0.000 0.000 0.000 Ga
0.168 0.168 0.168 Ga
0.418 0.418 0.418 Cu
0.584 0.584 0.584 Rh
```

Computed properties:
Total magnetization: 0.000 μB/atom
Space-group type: R3m (160)


Q: What are the energies relative to the best structure? A: model i 0.0; model ii 6.8; model iii 13.0, in kJ/mol of atoms.


Model i:
# GaCu2Rh2

A relaxed structure of GaCu2Rh2 (PBE-GGA, Alexandria via LeMat-Bulk).

The structure in POSCAR format:
```
GaCu2Rh2
1.0
6.506 0.000 0.000
0.000 6.506 0.000
0.000 0.000 3.306
Ga Cu Rh
2 4 4
Direct
0.000 0.000 0.000 Ga
0.500 0.500 0.000 Ga
0.132 0.368 0.000 Cu
0.368 0.868 0.000 Cu
0.632 0.132 0.000 Cu
0.868 0.632 0.000 Cu
0.166 0.666 0.500 Rh
0.334 0.166 0.500 Rh
0.666 0.834 0.500 Rh
0.834 0.334 0.500 Rh
```

Computed properties:
Total magnetization: 0.000 μB/atom
Space-group type: P4/mbm (127)


Model ii:
# GaCu2Rh2

A relaxed structure of GaCu2Rh2 (PBE-GGA, Alexandria via LeMat-Bulk).

The structure in POSCAR format:
```
GaCu2Rh2
1.0
6.388 0.000 0.000
0.000 6.388 0.000
0.000 0.000 3.620
Ga Cu Rh
2 4 4
Direct
0.000 0.000 0.000 Ga
0.500 0.500 0.000 Ga
0.154 0.346 0.500 Cu
0.346 0.846 0.500 Cu
0.654 0.154 0.500 Cu
0.846 0.654 0.500 Cu
0.144 0.644 0.000 Rh
0.356 0.144 0.000 Rh
0.644 0.856 0.000 Rh
0.856 0.356 0.000 Rh
```

Computed properties:
Total magnetization: 0.000 μB/atom
Space-group type: P4/mbm (127)


Model iii:
# GaCu2Rh2

A relaxed structure of GaCu2Rh2 (PBE-GGA, Alexandria via LeMat-Bulk).

The structure in POSCAR format:
```
GaCu2Rh2
1.0
-1.800 1.800 6.058
1.800 -1.800 6.058
1.800 1.800 -6.058
Ga Cu Rh
1 2 2
Direct
0.000 0.000 0.000 Ga
0.403 0.403 0.000 Cu
0.597 0.597 0.000 Cu
0.250 0.750 0.500 Rh
0.750 0.250 0.500 Rh
```

Computed properties:
Total magnetization: 0.074 μB/atom
Space-group type: I4/mmm (139)


Q: What are the energies relative to the best structure? A: model i 8.0; model ii 0.0; model iii 37.4, in kJ/mol of atoms.


Model i:
# Ga2Cu2Rh

A relaxed structure of Ga2Cu2Rh (PBE-GGA, Alexandria via LeMat-Bulk).

The structure in POSCAR format:
```
Ga2Cu2Rh
1.0
6.798 0.000 0.000
0.000 6.798 0.000
0.000 0.000 3.017
Ga Cu Rh
4 4 2
Direct
0.155 0.345 0.000 Ga
0.345 0.845 0.000 Ga
0.655 0.155 0.000 Ga
0.845 0.655 0.000 Ga
0.143 0.643 0.500 Cu
0.357 0.143 0.500 Cu
0.643 0.857 0.500 Cu
0.857 0.357 0.500 Cu
0.000 0.000 0.000 Rh
0.500 0.500 0.000 Rh
```

Computed properties:
Total magnetization: 0.000 μB/atom
Space-group type: P4/mbm (127)


Model ii:
# Ga2Cu2Rh

A relaxed structure of Ga2Cu2Rh (PBE-GGA, Alexandria via LeMat-Bulk).

The structure in POSCAR format:
```
Ga2Cu2Rh
1.0
-1.653 1.653 6.645
1.653 -1.653 6.645
1.653 1.653 -6.645
Ga Cu Rh
2 2 1
Direct
0.100 0.100 0.000 Ga
0.900 0.900 0.000 Ga
0.250 0.750 0.500 Cu
0.750 0.250 0.500 Cu
0.500 0.500 0.000 Rh
```

Computed properties:
Total magnetization: 0.000 μB/atom
Space-group type: I4/mmm (139)


Q: What are the energies relative to the best structure? A: model i 0.0; model ii 2.6, in kJ/mol of atoms.


Model i:
# Ga4CuRh

A relaxed structure of Ga4CuRh (PBE-GGA, Alexandria via LeMat-Bulk).

The structure in POSCAR format:
```
Ga4CuRh
1.0
5.883 0.000 0.000
-0.019 5.905 0.000
-2.833 -2.867 5.874
Ga Cu Rh
8 2 2
Direct
0.002 0.253 0.499 Ga
0.245 0.497 0.001 Ga
0.252 0.003 0.999 Ga
0.498 0.245 0.501 Ga
0.502 0.755 0.499 Ga
0.748 0.997 0.001 Ga
0.755 0.503 0.999 Ga
0.998 0.747 0.501 Ga
0.124 0.876 0.250 Cu
0.876 0.124 0.750 Cu
0.376 0.624 0.750 Rh
0.624 0.376 0.250 Rh
```

Computed properties:
Total magnetization: 0.000 μB/atom
Space-group type: P-1 (2)


Model ii:
# Ga4CuRh

A relaxed structure of Ga4CuRh (PBE-GGA, Alexandria via LeMat-Bulk).

The structure in POSCAR format:
```
Ga4CuRh
1.0
0.000 5.769 5.769
5.769 0.000 5.769
5.769 5.769 0.000
Ga Cu Rh
16 4 4
Direct
0.189 0.189 0.811 Ga
0.189 0.811 0.189 Ga
0.189 0.811 0.811 Ga
0.379 0.379 0.379 Ga
0.379 0.379 0.862 Ga
0.379 0.862 0.379 Ga
0.548 0.548 0.952 Ga
0.548 0.952 0.548 Ga
0.548 0.952 0.952 Ga
0.811 0.189 0.189 Ga
0.811 0.189 0.811 Ga
0.811 0.811 0.189 Ga
0.862 0.379 0.379 Ga
0.952 0.548 0.548 Ga
0.952 0.548 0.952 Ga
0.952 0.952 0.548 Ga
0.167 0.167 0.167 Cu
0.167 0.167 0.500 Cu
0.167 0.500 0.167 Cu
0.500 0.167 0.167 Cu
0.194 0.602 0.602 Rh
0.602 0.194 0.602 Rh
0.602 0.602 0.194 Rh
0.602 0.602 0.602 Rh
```

Computed properties:
Total magnetization: 0.000 μB/atom
Space-group type: F-43m (216)


Q: What are the energies relative to the best structure? A: model i 0.0; model ii 5.8, in kJ/mol of atoms.


Model i:
# GaCu3Rh

A relaxed structure of GaCu3Rh (PBE-GGA, Alexandria via LeMat-Bulk).

The structure in POSCAR format:
```
GaCu3Rh
1.0
4.357 0.000 0.000
0.000 4.357 0.000
0.000 0.000 4.357
Ga Cu Rh
1 3 1
Direct
0.000 0.000 0.000 Ga
0.000 0.000 0.500 Cu
0.000 0.500 0.000 Cu
0.500 0.000 0.000 Cu
0.500 0.500 0.500 Rh
```

Computed properties:
Total magnetization: 0.000 μB/atom
Space-group type: Pm-3m (221)


Model ii:
# GaCu3Rh

A relaxed structure of GaCu3Rh (PBE-GGA, Alexandria via LeMat-Bulk).

The structure in POSCAR format:
```
GaCu3Rh
1.0
4.657 0.000 0.000
0.000 4.657 0.000
0.000 0.000 4.657
Ga Cu Rh
1 3 1
Direct
0.000 0.000 0.000 Ga
0.000 0.500 0.500 Cu
0.500 0.000 0.500 Cu
0.500 0.500 0.000 Cu
0.500 0.500 0.500 Rh
```

Computed properties:
Total magnetization: 0.000 μB/atom
Space-group type: Pm-3m (221)


Q: What are the energies relative to the best structure? A: model i 0.0; model ii 10.1, in kJ/mol of atoms.


Model i:
# GaCuRu

A relaxed structure of GaCuRu (PBE-GGA, Alexandria via LeMat-Bulk).

The structure in POSCAR format:
```
GaCuRu
1.0
2.088 1.206 6.216
-2.088 1.206 6.216
0.000 -2.411 6.216
Ga Cu Ru
2 2 2
Direct
0.000 0.000 0.000 Ga
0.500 0.500 0.500 Ga
0.228 0.228 0.228 Cu
0.772 0.772 0.772 Cu
0.372 0.372 0.372 Ru
0.628 0.628 0.628 Ru
```

Computed properties:
Total magnetization: 0.000 μB/atom
Space-group type: R-3m (166)


Model ii:
# GaCuRu

A relaxed structure of GaCuRu (PBE-GGA, Alexandria via LeMat-Bulk).

The structure in POSCAR format:
```
GaCuRu
1.0
-1.530 1.530 4.333
1.530 -1.530 4.333
1.530 1.530 -4.333
Ga Cu Ru
1 1 1
Direct
0.000 0.000 0.000 Ga
0.662 0.662 0.000 Cu
0.339 0.339 0.000 Ru
```

Computed properties:
Total magnetization: 0.000 μB/atom
Space-group type: I4mm (107)


Q: What are the energies relative to the best structure? A: model i 12.3; model ii 0.0, in kJ/mol of atoms.


Model i:
# Ga2Cu2Ru

A relaxed structure of Ga2Cu2Ru (PBE-GGA, Alexandria via LeMat-Bulk).

The structure in POSCAR format:
```
Ga2Cu2Ru
1.0
6.958 0.000 0.000
0.000 6.958 0.000
0.000 0.000 2.858
Ga Cu Ru
4 4 2
Direct
0.157 0.343 0.000 Ga
0.343 0.843 0.000 Ga
0.657 0.157 0.000 Ga
0.843 0.657 0.000 Ga
0.141 0.641 0.500 Cu
0.359 0.141 0.500 Cu
0.641 0.859 0.500 Cu
0.859 0.359 0.500 Cu
0.000 0.000 0.000 Ru
0.500 0.500 0.000 Ru
```

Computed properties:
Total magnetization: 0.169 μB/atom
Space-group type: P4/mbm (127)


Model ii:
# Ga2Cu2Ru

A relaxed structure of Ga2Cu2Ru (PBE-GGA, Alexandria via LeMat-Bulk).

The structure in POSCAR format:
```
Ga2Cu2Ru
1.0
-1.641 1.641 6.653
1.641 -1.641 6.653
1.641 1.641 -6.653
Ga Cu Ru
2 2 1
Direct
0.100 0.100 0.000 Ga
0.900 0.900 0.000 Ga
0.250 0.750 0.500 Cu
0.750 0.250 0.500 Cu
0.500 0.500 0.000 Ru
```

Computed properties:
Total magnetization: 0.000 μB/atom
Space-group type: I4/mmm (139)


Model iii:
# Ga2Cu2Ru

A relaxed structure of Ga2Cu2Ru (PBE-GGA, Alexandria via LeMat-Bulk).

The structure in POSCAR format:
```
Ga2Cu2Ru
1.0
7.046 0.000 0.000
0.000 7.046 0.000
0.000 0.000 2.797
Ga Cu Ru
4 4 2
Direct
0.178 0.322 0.000 Ga
0.322 0.822 0.000 Ga
0.678 0.178 0.000 Ga
0.822 0.678 0.000 Ga
0.123 0.623 0.500 Cu
0.377 0.123 0.500 Cu
0.623 0.877 0.500 Cu
0.877 0.377 0.500 Cu
0.000 0.000 0.500 Ru
0.500 0.500 0.500 Ru
```

Computed properties:
Total magnetization: 0.194 μB/atom
Space-group type: P4/mbm (127)


Q: What are the energies relative to the best structure? A: model i 2.1; model ii 0.0; model iii 4.9, in kJ/mol of atoms.


Model i:
# GaCu3Ru

A relaxed structure of GaCu3Ru (PBE-GGA, Alexandria via LeMat-Bulk).

The structure in POSCAR format:
```
GaCu3Ru
1.0
4.363 0.000 0.000
0.000 4.363 0.000
0.000 0.000 4.363
Ga Cu Ru
1 3 1
Direct
0.000 0.000 0.000 Ga
0.000 0.000 0.500 Cu
0.000 0.500 0.000 Cu
0.500 0.000 0.000 Cu
0.500 0.500 0.500 Ru
```

Computed properties:
Total magnetization: 0.361 μB/atom
Space-group type: Pm-3m (221)


Model ii:
# GaCu3Ru

A relaxed structure of GaCu3Ru (PBE-GGA, Alexandria via LeMat-Bulk).

The structure in POSCAR format:
```
GaCu3Ru
1.0
4.600 0.000 0.000
0.000 4.600 0.000
0.000 0.000 4.600
Ga Cu Ru
1 3 1
Direct
0.000 0.000 0.000 Ga
0.000 0.500 0.500 Cu
0.500 0.000 0.500 Cu
0.500 0.500 0.000 Cu
0.500 0.500 0.500 Ru
```

Computed properties:
Total magnetization: 0.000 μB/atom
Space-group type: Pm-3m (221)


Q: What are the energies relative to the best structure? A: model i 0.0; model ii 14.7, in kJ/mol of atoms.


Model i:
# Ga3CuS

A relaxed structure of Ga3CuS (PBE-GGA, Alexandria via LeMat-Bulk).

The structure in POSCAR format:
```
Ga3CuS
1.0
4.847 0.000 0.000
0.000 4.847 0.000
0.000 0.000 4.847
Ga Cu S
3 1 1
Direct
0.000 0.000 0.500 Ga
0.000 0.500 0.000 Ga
0.500 0.000 0.000 Ga
0.500 0.500 0.500 Cu
0.000 0.000 0.000 S
```

Computed properties:
Total magnetization: 0.000 μB/atom
Space-group type: Pm-3m (221)


Model ii:
# Ga3CuS

A relaxed structure of Ga3CuS (PBE-GGA, Alexandria via LeMat-Bulk).

The structure in POSCAR format:
```
Ga3CuS
1.0
4.655 0.000 0.000
0.000 4.655 0.000
0.000 0.000 4.655
Ga Cu S
3 1 1
Direct
0.000 0.000 0.500 Ga
0.000 0.500 0.000 Ga
0.500 0.000 0.000 Ga
0.000 0.000 0.000 Cu
0.500 0.500 0.500 S
```

Computed properties:
Total magnetization: 0.000 μB/atom
Space-group type: Pm-3m (221)


Q: What are the energies relative to the best structure? A: model i 50.8; model ii 0.0, in kJ/mol of atoms.


Model i:
# Ga2CuS4

A relaxed structure of Ga2CuS4 (PBE-GGA, Alexandria via LeMat-Bulk).

The structure in POSCAR format:
```
Ga2CuS4
1.0
5.116 0.000 0.000
0.000 5.116 0.000
0.000 0.000 5.551
Ga Cu S
2 1 4
Direct
0.000 0.500 0.000 Ga
0.500 0.000 0.000 Ga
0.000 0.000 0.500 Cu
0.258 0.258 0.743 S
0.258 0.742 0.257 S
0.742 0.258 0.257 S
0.742 0.742 0.743 S
```

Computed properties:
Total magnetization: 0.000 μB/atom
Space-group type: P-42m (111)


Model ii:
# Ga2CuS4

A relaxed structure of Ga2CuS4 (PBE-GGA, Alexandria via LeMat-Bulk).

The structure in POSCAR format:
```
Ga2CuS4
1.0
5.259 0.000 0.000
0.000 5.259 0.000
0.000 0.000 6.227
Ga Cu S
2 1 4
Direct
0.000 0.500 0.000 Ga
0.500 0.000 0.000 Ga
0.000 0.000 0.000 Cu
0.251 0.251 0.772 S
0.251 0.749 0.228 S
0.749 0.251 0.228 S
0.749 0.749 0.772 S
```

Computed properties:
Total magnetization: 0.051 μB/atom
Space-group type: P-42m (111)


Q: What are the energies relative to the best structure? A: model i 0.0; model ii 14.7, in kJ/mol of atoms.